Compound: TbLuAu2
Source: Alexandria via LeMat-Bulk
Functional: GGA-PBE
Structure: optimized geometry

Structure (POSCAR):
```
TbLuAu2
1.0
4.221 0.000 0.000
-2.110 3.655 0.000
0.000 0.000 19.930
Tb Lu Au
3 3 6
Cartesian
0.000 0.000 0.000
0.000 2.437 13.287
2.110 1.218 6.643
0.000 0.000 9.965
0.000 2.437 3.322
2.110 1.218 16.609
0.000 0.000 4.898
0.000 0.000 15.032
0.000 2.437 8.389
0.000 2.437 18.185
2.110 1.218 1.745
2.110 1.218 11.542
```

Properties
* DFT total energy: -4.674 eV per atom
* energy relative to the lowest polymorph listed for this composition: 0.127 eV/atom
* ΔH_f (0 K): -747 meV/atom
* SG: R-3m, No. 166